No. 1
The following is a DFT calculation (PBE) of an optimized crystal structure of CsRbBa2H.

Cell lengths 6.0400, 6.0400, 7.7901 Å; angles 90.00, 90.00, 90.00 degrees
Sites, in units of the cell vectors:
Cs 0.0000 0.0000 0.0000
Rb 0.5000 0.5000 0.0000
Ba 0.0000 0.5000 0.5000
Ba 0.5000 0.0000 0.5000
H 0.5000 0.5000 0.5000

## Properties
**Calculated total energy**: -1.7377 eV/atom

=====

No. 2
The following is a DFT calculation (PBE) of an optimized crystal structure of HoBiSe3.

Cell lengths 7.1707, 4.1448, 10.7642 Å; angles 90.00, 102.37, 90.00 degrees
Sites, in units of the cell vectors:
Ho 0.2343 0.2500 0.4804
Ho 0.7657 0.7500 0.5196
Bi 0.3614 0.2500 0.8490
Bi 0.6386 0.7500 0.1510
Se 0.0185 0.7500 0.3423
Se 0.2498 0.7500 0.9978
Se 0.4500 0.7500 0.6426
Se 0.5500 0.2500 0.3574
Se 0.7502 0.2500 0.0022
Se 0.9815 0.2500 0.6577

## Properties
**Calculated total energy**: -4.8991 eV/atom

=====

No. 3
The following is a DFT calculation (PBE) of an optimized crystal structure of PmAl2Pd2Au.

Cell lengths 4.7232, 4.7232, 5.7245 Å; angles 90.00, 90.00, 90.00 degrees
Sites, in units of the cell vectors:
Pm 0.0000 0.0000 0.0000
Al 0.0000 0.5000 0.5000
Al 0.5000 0.0000 0.5000
Pd 0.5000 0.5000 0.2465
Pd 0.5000 0.5000 0.7535
Au 0.0000 0.0000 0.5000

## Properties
**E_form**: -0.377 eV/atom

=====

No. 4
The following is a DFT calculation (PBE) of an optimized crystal structure of LiP2Ru.

Cell lengths 8.3490, 3.1112, 4.4831 Å; angles 90.00, 90.40, 90.00 degrees
Sites, in units of the cell vectors:
Li 0.0000 0.0000 0.0000
Li 0.5000 0.5000 0.0000
P 0.2698 0.0000 0.1935
P 0.4523 0.0000 0.5514
P 0.7698 0.5000 0.1935
P 0.9523 0.5000 0.5514
Ru 0.2366 0.5000 0.6050
Ru 0.7366 0.0000 0.6050

## Properties
**E_form**: -0.234 eV/atom

=====

No. 5
The following is a DFT calculation (PBE) of an optimized crystal structure of LaRu2O8.

Cell lengths 6.0529, 6.0529, 6.1968 Å; angles 105.64, 105.64, 54.97 degrees
Sites, in units of the cell vectors:
La 0.0000 0.0000 0.0000
Ru 0.2063 0.2063 0.6862
Ru 0.7937 0.7937 0.3138
O 0.1032 0.6399 0.2033
O 0.1551 0.1551 0.3836
O 0.3601 0.8968 0.7967
O 0.3754 0.3754 0.8110
O 0.6246 0.6246 0.1890
O 0.6399 0.1032 0.2033
O 0.8449 0.8449 0.6164
O 0.8968 0.3601 0.7967

## Properties
**Calculated total energy**: -7.0126 eV/atom

=====

No. 6
The following is a DFT calculation (PBE) of an optimized crystal structure of Si3IrF.

Cell lengths 4.1745, 4.1745, 4.1745 Å; angles 90.00, 90.00, 90.00 degrees
Sites, in units of the cell vectors:
Si 0.0000 0.0000 0.5000
Si 0.0000 0.5000 0.0000
Si 0.5000 0.0000 0.0000
Ir 0.5000 0.5000 0.5000
F 0.0000 0.0000 0.0000

## Properties
**Calculated total energy**: -4.9308 eV/atom

=====

No. 7
The following is a DFT calculation (PBE) of an optimized crystal structure of TmMgPa2N5.

Cell lengths 7.0322, 7.0322, 10.9385 Å; angles 90.00, 90.00, 151.21 degrees
Sites, in units of the cell vectors:
Tm 0.2189 0.7811 0.5000
Tm 0.7811 0.2189 0.0000
Mg 0.4932 0.5068 0.9995
Mg 0.5068 0.4932 0.4995
Pa 0.1236 0.8764 0.7573
Pa 0.1319 0.8681 0.2129
Pa 0.8681 0.1319 0.7129
Pa 0.8764 0.1236 0.2573
N 0.0616 0.9384 0.5748
N 0.2868 0.7132 0.1615
N 0.2943 0.7057 0.8498
N 0.3690 0.6310 0.5892
N 0.4724 0.5276 0.3081
N 0.5276 0.4724 0.8081
N 0.6310 0.3690 0.0892
N 0.7057 0.2943 0.3498
N 0.7132 0.2868 0.6615
N 0.9384 0.0616 0.0748

## Properties
**Calculated total energy**: -8.7990 eV/atom

=====

No. 8
The following is a DFT calculation (PBE) of an optimized crystal structure of K4Ca.

Cell lengths 7.6087, 7.6087, 7.6087 Å; angles 90.00, 90.00, 90.00 degrees
Sites, in units of the cell vectors:
K 0.0000 0.0000 0.0000
K 0.0000 0.5000 0.5000
K 0.5000 0.0000 0.5000
K 0.5000 0.5000 0.0000
Ca 0.5000 0.5000 0.5000

## Properties
**E_form**: 0.335 eV/atom

=====

No. 9
The following is a DFT calculation (PBE) of an optimized crystal structure of TlCd2As2.

Cell lengths 8.6191, 8.6191, 3.2040 Å; angles 90.00, 90.00, 90.00 degrees
Sites, in units of the cell vectors:
Tl 0.0000 0.0000 0.0000
Tl 0.5000 0.5000 0.0000
Cd 0.1388 0.3612 0.5000
Cd 0.3612 0.8612 0.5000
Cd 0.6388 0.1388 0.5000
Cd 0.8612 0.6388 0.5000
As 0.1569 0.6569 0.0000
As 0.3431 0.1569 0.0000
As 0.6569 0.8431 0.0000
As 0.8431 0.3431 0.0000

## Properties
**E_form**: 0.104 eV/atom

=====

No. 10
The following is a DFT calculation (PBE) of an optimized crystal structure of Gd2LuV.

Cell lengths 3.4329, 3.4329, 31.7676 Å; angles 90.00, 90.00, 120.00 degrees
Sites, in units of the cell vectors:
Gd 0.0000 0.0000 0.2386
Gd 0.0000 0.0000 0.7614
Gd 0.3333 0.6667 0.4280
Gd 0.3333 0.6667 0.9053
Gd 0.6667 0.3333 0.0947
Gd 0.6667 0.3333 0.5720
Lu 0.0000 0.0000 0.0000
Lu 0.3333 0.6667 0.6667
Lu 0.6667 0.3333 0.3333
V 0.0000 0.0000 0.5000
V 0.3333 0.6667 0.1667
V 0.6667 0.3333 0.8333

## Properties
**E_form**: 0.340 eV/atom

=====

No. 11
The following is a DFT calculation (PBE) of an optimized crystal structure of TaReOsI2.

Cell lengths 5.1931, 5.1931, 5.0200 Å; angles 90.00, 90.00, 90.00 degrees
Sites, in units of the cell vectors:
Ta 0.0000 0.0000 0.0000
Re 0.0000 0.0000 0.5000
Os 0.5000 0.5000 0.0000
I 0.0000 0.5000 0.5000
I 0.5000 0.0000 0.5000

## Properties
**Calculated total energy**: -5.3721 eV/atom

=====

No. 12
The following is a DFT calculation (PBE) of an optimized crystal structure of PmGa2Ru.

Cell lengths 4.1976, 4.1976, 10.5523 Å; angles 90.00, 90.00, 120.00 degrees
Sites, in units of the cell vectors:
Pm 0.3333 0.6667 0.2500
Pm 0.6667 0.3333 0.7500
Ga 0.3333 0.6667 0.5740
Ga 0.3333 0.6667 0.9260
Ga 0.6667 0.3333 0.0740
Ga 0.6667 0.3333 0.4260
Ru 0.0000 0.0000 0.0000
Ru 0.0000 0.0000 0.5000

## Properties
**E_form**: -0.491 eV/atom

=====

> What is the formula in the third record?

PmAl2Pd2Au